TbPmIr2 | GGA-PBEsol | relaxed

a b c (Å): 4.853 4.853 4.853
angles (deg): 60.00 60.00 60.00
Positions (direct):
Tb 0.000 0.000 0.000
Pm 0.500 0.500 0.500
Ir 0.250 0.250 0.250
Ir 0.750 0.750 0.750

Properties
As for the density of states at the Fermi level: 0.53 states/eV per atom. As for the formation energy: -0.638 eV per atom.